Below is a relaxed structure of KNaFe2Br, with properties calculated at the GGA-PBE level.

a b c (Å): 5.576 7.492 5.576
angles (deg): 90.00 90.00 90.00
Fractional positions:
Na 0.000 0.500 0.000
Fe 0.000 0.000 0.500
Fe 0.500 0.000 0.000
K 0.000 0.000 0.000
Br 0.500 0.500 0.500

Output
The space-group type is P4/mmm. The total energy is -2.72 eV/atom. For the uncorrected formation energy, the calculation gives 7.39 eV per formula unit.